Model A:
VASP calculation (SCAN) on a PBEsol-optimized structure of Ag4Pt5.

Values from the calculation:
Density of states at the Fermi level: 0.682 states/eV per atom
Crystal system: monoclinic
Space group: Cm, No. 8

a = 3.9194 Å, b = 4.8245 Å, c = 8.4965 Å
α = 106.22°, β = 90.00°, γ = 113.97°
Fractional coordinates of all 9 atoms:
Pt  0.6646  0.3292  0.5586
Ag  0.6687  0.3374  0.2218
Pt  0.3294  0.6587  0.7726
Pt  0.6644  0.3288  0.8810
Ag  0.9995  0.9990  0.0017
Ag  0.3342  0.6684  0.1098
Pt  0.0064  0.0127  0.3420
Ag  0.3345  0.6690  0.4426
Pt  0.9984  0.9968  0.6700

Model B:
VASP calculation (SCAN) on a PBEsol-optimized structure of Ag4Pt5.

Values from the calculation:
Density of states at the Fermi level: 0.745 states/eV per atom
Crystal system: monoclinic
Space group: C2/m, No. 12

a = 2.7607 Å, b = 4.8171 Å, c = 11.0819 Å
α = 85.41°, β = 82.84°, γ = 73.35°
Fractional coordinates of all 9 atoms:
Pt  0.6565  0.8461  0.8409
Pt  0.0000  0.5000  0.5000
Pt  0.1156  0.7135  0.0554
Ag  0.5604  0.6017  0.2776
Ag  0.7791  0.0553  0.3864
Ag  0.2209  0.9447  0.6136
Pt  0.3435  0.1539  0.1591
Ag  0.4396  0.3983  0.7224
Pt  0.8844  0.2865  0.9446

Model C:
VASP calculation (SCAN) on a PBEsol-optimized structure of Ag4Pt5.

Values from the calculation:
Density of states at the Fermi level: 0.861 states/eV per atom
Crystal system: triclinic
Space group: P1, No. 1

a = 4.8636 Å, b = 4.8588 Å, c = 7.3491 Å
α = 71.20°, β = 89.93°, γ = 60.15°
Each line ends with the local moment (μB).
Fractional coordinates of all 9 atoms:
Ag  0.9912  0.0007  0.0006  0.00
Pt  0.3183  0.3356  0.9973  0.06
Pt  0.2354  0.8698  0.6690  0.04
Pt  0.4564  0.7879  0.3324  0.04
Ag  0.5589  0.2174  0.6648  0.00
Pt  0.6505  0.6725  0.0005  0.04
Ag  0.7858  0.1160  0.3335  0.00
Pt  0.8870  0.5524  0.6678  0.06
Ag  0.1165  0.4477  0.3342  0.00

So which one wins? Going from most stable to least: model B, model A, model C.

Model A:
VASP calculation (SCAN) on a PBEsol-optimized structure of Ag7Pt4.

Values from the calculation:
Density of states at the Fermi level: 0.341 states/eV per atom
Crystal system: triclinic
Space group: P1, No. 1

a = 4.8217 Å, b = 4.8877 Å, c = 7.5272 Å
α = 96.00°, β = 90.93°, γ = 98.98°
Fractional coordinates of all 11 atoms:
Ag  0.2746  0.6361  0.5451
Ag  0.7301  0.3595  0.4552
Ag  0.9055  0.4550  0.8168
Ag  0.3622  0.1805  0.7312
Pt  0.6354  0.8092  0.2698
Pt  0.0923  0.5453  0.1798
Pt  0.8156  0.9063  0.6297
Ag  0.9976  0.0050  0.9987
Ag  0.1816  0.0856  0.3616
Ag  0.4551  0.7331  0.9114
Pt  0.5500  0.2844  0.1007

Model B:
VASP calculation (SCAN) on a PBEsol-optimized structure of Ag7Pt4.

Values from the calculation:
Density of states at the Fermi level: 0.471 states/eV per atom
Crystal system: monoclinic
Space group: Cm, No. 8

a = 2.7924 Å, b = 6.3460 Å, c = 10.1783 Å
α = 86.61°, β = 82.12°, γ = 77.29°
Fractional coordinates of all 11 atoms:
Ag  0.6357  0.1840  0.5446
Ag  0.3654  0.8160  0.4533
Pt  0.2685  0.3734  0.0896
Ag  0.8199  0.0898  0.2705
Pt  0.1817  0.9112  0.7254
Pt  0.0926  0.4530  0.3619
Ag  0.4563  0.2668  0.8205
Pt  0.5499  0.7150  0.1852
Ag  0.9075  0.5486  0.6364
Ag  0.7261  0.6409  0.9068
Ag  0.9965  0.0013  0.0058

Model C:
VASP calculation (SCAN) on a PBEsol-optimized structure of Ag7Pt4.

Values from the calculation:
Density of states at the Fermi level: 0.447 states/eV per atom
Crystal system: triclinic
Space group: P-1, No. 2

a = 4.8320 Å, b = 4.9185 Å, c = 7.4829 Å
α = 90.13°, β = 95.68°, γ = 99.95°
Fractional coordinates of all 11 atoms:
Ag  0.8191  0.1339  0.2774
Ag  0.6367  0.7713  0.5417
Ag  0.3633  0.2287  0.4583
Ag  0.1809  0.8661  0.7226
Pt  0.0880  0.6726  0.3566
Pt  0.4553  0.4092  0.8204
Ag  0.0000  0.5000  0.0000
Ag  0.7245  0.9539  0.9071
Ag  0.2755  0.0461  0.0929
Pt  0.5447  0.5908  0.1796
Pt  0.9120  0.3274  0.6434

So which one wins? Going from most stable to least: model B, model A, model C.

Model A:
VASP calculation (SCAN) on a PBEsol-optimized structure of Ag4Pt.

Values from the calculation:
Density of states at the Fermi level: 0.353 states/eV per atom
Crystal system: trigonal
Space group: R-3m, No. 166

a = 2.8160 Å, b = 2.8160 Å, c = 11.8107 Å
α = 83.15°, β = 83.15°, γ = 60.00°
Fractional coordinates of all 5 atoms:
Pt  0.0000  0.0000  0.0000
Ag  0.3994  0.3994  0.8018
Ag  0.6006  0.6006  0.1982
Ag  0.2004  0.2004  0.3988
Ag  0.7996  0.7996  0.6012

Model B:
VASP calculation (SCAN) on a PBEsol-optimized structure of Ag4Pt.

Values from the calculation:
Density of states at the Fermi level: 0.306 states/eV per atom
Crystal system: tetragonal
Space group: I4/mmm, No. 139

a = 3.6265 Å, b = 3.6265 Å, c = 7.3012 Å
α = 104.38°, β = 104.38°, γ = 90.00°
Fractional coordinates of all 5 atoms:
Ag  0.7500  0.2500  0.5000
Ag  0.2500  0.7500  0.5000
Pt  0.0000  0.0000  0.0000
Ag  0.5951  0.5951  0.1902
Ag  0.4049  0.4049  0.8098

So which one wins? Going from most stable to least: model A, model B.

Model A:
VASP calculation (SCAN) on a PBEsol-optimized structure of Ag4Pt.

Values from the calculation:
Density of states at the Fermi level: 0.311 states/eV per atom
Crystal system: monoclinic
Space group: C2/m, No. 12

a = 2.8277 Å, b = 4.9092 Å, c = 6.3582 Å
α = 75.11°, β = 77.15°, γ = 73.26°
Fractional coordinates of all 5 atoms:
Ag  0.4034  0.2992  0.8940
Ag  0.5966  0.7008  0.1060
Ag  0.2032  0.8944  0.6992
Ag  0.7968  0.1056  0.3008
Pt  0.0000  0.5000  0.5000

Model B:
VASP calculation (SCAN) on a PBEsol-optimized structure of Ag4Pt.

Values from the calculation:
Density of states at the Fermi level: 0.248 states/eV per atom
Crystal system: tetragonal
Space group: I4/m, No. 87

a = 4.0346 Å, b = 4.9067 Å, c = 4.9067 Å
α = 80.27°, β = 65.72°, γ = 65.72°
Fractional coordinates of all 5 atoms:
Ag  0.6013  0.1972  0.6002
Ag  0.2015  0.3998  0.1972
Ag  0.7985  0.6002  0.8028
Ag  0.3987  0.8028  0.3998
Pt  0.0000  0.0000  0.0000

So which one wins? Going from most stable to least: model A, model B.

Model A:
VASP calculation (SCAN) on a PBEsol-optimized structure of Ag5Pt4.

Values from the calculation:
Density of states at the Fermi level: 0.725 states/eV per atom
Crystal system: triclinic
Space group: P-1, No. 2

a = 4.8582 Å, b = 4.8531 Å, c = 7.4424 Å
α = 71.17°, β = 89.97°, γ = 60.08°
Fractional coordinates of all 9 atoms:
Ag  0.8912  0.5528  0.6682
Pt  0.7776  0.1134  0.3360
Pt  0.4419  0.7777  0.3369
Pt  0.5581  0.2223  0.6631
Ag  0.6612  0.6702  0.9995
Ag  0.1088  0.4472  0.3318
Pt  0.2224  0.8866  0.6640
Ag  0.3388  0.3298  0.0005
Ag  0.0000  0.0000  0.0000

Model B:
VASP calculation (SCAN) on a PBEsol-optimized structure of Ag5Pt4.

Values from the calculation:
Density of states at the Fermi level: 0.454 states/eV per atom
Crystal system: monoclinic
Space group: C2/m, No. 12

a = 3.9444 Å, b = 6.2098 Å, c = 6.3936 Å
α = 107.62°, β = 107.97°, γ = 90.00°
Fractional coordinates of all 9 atoms:
Ag  0.6110  0.6635  0.2221
Ag  0.3890  0.3365  0.7779
Ag  0.0553  0.3278  0.1105
Ag  0.5000  0.0000  0.0000
Pt  0.7244  0.3328  0.4488
Pt  0.8276  0.9957  0.6553
Pt  0.2756  0.6672  0.5512
Pt  0.1724  0.0043  0.3447
Ag  0.9447  0.6722  0.8895

Model C:
VASP calculation (SCAN) on a PBEsol-optimized structure of Ag5Pt4.

Values from the calculation:
Density of states at the Fermi level: 0.651 states/eV per atom
Crystal system: monoclinic
Space group: Cm, No. 8

a = 2.7803 Å, b = 4.8705 Å, c = 10.9865 Å
α = 85.43°, β = 82.73°, γ = 73.42°
Each line ends with the local moment (μB).
Fractional coordinates of all 9 atoms:
Ag  0.7803  0.5561  0.8833  0.00
Ag  0.9953  0.0034  0.0061  0.00
Pt  0.8939  0.7682  0.4439  0.07
Ag  0.5587  0.1053  0.7772  0.00
Pt  0.4362  0.8961  0.2314  0.07
Ag  0.2165  0.4553  0.1118  0.00
Pt  0.3376  0.6651  0.6598  0.02
Ag  0.1150  0.2159  0.5541  0.00
Pt  0.6665  0.3346  0.3324  0.08

So which one wins? Going from most stable to least: model C, model B, model A.

Model A:
VASP calculation (SCAN) on a PBEsol-optimized structure of Re2AgPt.

Values from the calculation:
Density of states at the Fermi level: 0.761 states/eV per atom
Crystal system: monoclinic
Space group: Pm, No. 6

a = 2.7286 Å, b = 3.9408 Å, c = 5.5978 Å
α = 90.00°, β = 91.02°, γ = 90.00°
Fractional coordinates of all 4 atoms:
Re  0.4687  0.5000  0.2320
Ag  0.9969  0.0000  0.5030
Re  0.0353  0.0000  0.0137
Pt  0.4991  0.5000  0.7513

Model B:
VASP calculation (SCAN) on a PBEsol-optimized structure of Re2AgPt.

Values from the calculation:
Density of states at the Fermi level: 0.770 states/eV per atom
Crystal system: tetragonal
Space group: I4/mmm, No. 139

a = 3.7805 Å, b = 3.7805 Å, c = 4.9538 Å
α = 112.43°, β = 112.43°, γ = 90.00°
Fractional coordinates of all 4 atoms:
Ag  0.5000  0.5000  0.0000
Pt  0.0000  0.0000  0.0000
Re  0.2500  0.7500  0.5000
Re  0.7500  0.2500  0.5000

Model C:
VASP calculation (SCAN) on a PBEsol-optimized structure of Re2AgPt.

Values from the calculation:
Density of states at the Fermi level: 0.757 states/eV per atom
Crystal system: tetragonal
Space group: I-4m2, No. 119

a = 3.9374 Å, b = 3.9410 Å, c = 4.7368 Å
α = 114.58°, β = 114.57°, γ = 90.00°
Fractional coordinates of all 4 atoms:
Re  0.0004  0.0003  0.0007
Pt  0.2502  0.7500  0.5000
Ag  0.4999  0.4999  0.9998
Re  0.7497  0.2498  0.4995

So which one wins? Going from most stable to least: model A, model C, model B.

Model A:
VASP calculation (SCAN) on a PBEsol-optimized structure of AgPt2Rh.

Values from the calculation:
Density of states at the Fermi level: 1.030 states/eV per atom
Crystal system: trigonal
Space group: R-3m, No. 166

a = 2.7373 Å, b = 2.7373 Å, c = 9.3146 Å
α = 81.55°, β = 81.55°, γ = 60.00°
Each line ends with the local moment (μB).
Fractional coordinates of all 4 atoms:
Pt  0.2469  0.2469  0.2594  0.17
Ag  0.0000  0.0000  0.0000  0.00
Rh  0.5000  0.5000  0.5000  0.53
Pt  0.7531  0.7531  0.7406  0.17

Model B:
VASP calculation (SCAN) on a PBEsol-optimized structure of AgPt2Rh.

Values from the calculation:
Density of states at the Fermi level: 0.750 states/eV per atom
Crystal system: orthorhombic
Space group: Cmmm, No. 65

a = 2.7293 Å, b = 4.8174 Å, c = 4.8174 Å
α = 110.40°, β = 90.00°, γ = 90.00°
Fractional coordinates of all 4 atoms:
Ag  0.5000  0.5000  0.5000
Pt  0.0000  0.5000  0.0000
Pt  0.0000  0.0000  0.5000
Rh  0.5000  0.0000  0.0000

Model C:
VASP calculation (SCAN) on a PBEsol-optimized structure of AgPt2Rh.

Values from the calculation:
Density of states at the Fermi level: 1.059 states/eV per atom
Crystal system: tetragonal
Space group: P4/mmm, No. 123

a = 2.7424 Å, b = 2.7424 Å, c = 7.9571 Å
α = 90.00°, β = 90.00°, γ = 90.00°
Each line ends with the local moment (μB).
Fractional coordinates of all 4 atoms:
Pt  0.0000  0.0000  0.7652  0.23
Ag  0.5000  0.5000  0.5000  0.00
Pt  0.0000  0.0000  0.2348  0.23
Rh  0.5000  0.5000  0.0000  0.74

Model D:
VASP calculation (SCAN) on a PBEsol-optimized structure of AgPt2Rh.

Values from the calculation:
Density of states at the Fermi level: 1.048 states/eV per atom
Crystal system: tetragonal
Space group: I4/mmm, No. 139

a = 3.9084 Å, b = 3.9063 Å, c = 4.7739 Å
α = 114.15°, β = 114.16°, γ = 90.00°
Fractional coordinates of all 4 atoms:
Rh  0.5000  0.0000  0.0000
Ag  0.0000  0.5000  0.0000
Pt  0.7500  0.7500  0.4999
Pt  0.2500  0.2500  0.5001

So which one wins? Going from most stable to least: model C, model A, model B, model D.

Model A:
VASP calculation (SCAN) on a PBEsol-optimized structure of Ag2RuPt.

Values from the calculation:
Density of states at the Fermi level: 0.621 states/eV per atom
Crystal system: tetragonal
Space group: I4/mmm, No. 139

a = 3.8508 Å, b = 3.8508 Å, c = 4.9814 Å
α = 112.74°, β = 112.74°, γ = 90.00°
Each line ends with the local moment (μB).
Fractional coordinates of all 4 atoms:
Ag  0.2500  0.7500  0.5000  0.04
Ru  0.0000  0.0000  0.0000  2.04
Ag  0.7500  0.2500  0.5000  0.04
Pt  0.5000  0.5000  0.0000  0.38

Model B:
VASP calculation (SCAN) on a PBEsol-optimized structure of Ag2RuPt.

Values from the calculation:
Density of states at the Fermi level: 1.253 states/eV per atom
Crystal system: tetragonal
Space group: P4/mmm, No. 123

a = 2.7071 Å, b = 4.7843 Å, c = 4.7843 Å
α = 90.00°, β = 90.00°, γ = 90.00°
Fractional coordinates of all 4 atoms:
Ru  0.5000  0.0000  0.0000
Pt  0.5000  0.5000  0.5000
Ag  0.0000  0.5000  0.0000
Ag  0.0000  0.0000  0.5000

So which one wins? Going from most stable to least: model A, model B.

Model A:
VASP calculation (SCAN) on a PBEsol-optimized structure of SiAgPt.

Values from the calculation:
Density of states at the Fermi level: 0.476 states/eV per atom
Crystal system: cubic
Space group: F-43m, No. 216

a = 4.2105 Å, b = 4.2105 Å, c = 4.2105 Å
α = 60.00°, β = 60.00°, γ = 60.00°
Fractional coordinates of all 3 atoms:
Ag  0.7500  0.7500  0.7500
Si  0.5000  0.5000  0.5000
Pt  0.0000  0.0000  0.0000

Model B:
VASP calculation (SCAN) on a PBEsol-optimized structure of SiAgPt.

Values from the calculation:
Density of states at the Fermi level: 0.461 states/eV per atom
Crystal system: trigonal
Space group: P3m1, No. 156

a = 2.8826 Å, b = 2.8826 Å, c = 6.3298 Å
α = 90.00°, β = 90.00°, γ = 120.00°
Fractional coordinates of all 3 atoms:
Ag  0.0000  0.0000  0.0128
Pt  0.3333  0.6667  0.6361
Si  0.6667  0.3333  0.3511

So which one wins? Going from most stable to least: model B, model A.

Model A:
VASP calculation (SCAN) on a PBEsol-optimized structure of SrAg2Pt.

Values from the calculation:
Density of states at the Fermi level: 0.345 states/eV per atom
Crystal system: orthorhombic
Space group: Pmm2, No. 25

a = 3.0696 Å, b = 3.9274 Å, c = 6.7227 Å
α = 90.00°, β = 90.00°, γ = 90.00°
Fractional coordinates of all 4 atoms:
Sr  0.5000  0.5000  0.7297
Pt  0.0000  0.0000  0.4646
Ag  0.5000  0.5000  0.2518
Ag  0.0000  0.0000  0.0540

Model B:
VASP calculation (SCAN) on a PBEsol-optimized structure of SrAg2Pt.

Values from the calculation:
Density of states at the Fermi level: 0.255 states/eV per atom
Crystal system: orthorhombic
Space group: Pmmm, No. 47

a = 3.0771 Å, b = 4.3076 Å, c = 5.9342 Å
α = 90.00°, β = 90.00°, γ = 90.00°
Fractional coordinates of all 4 atoms:
Sr  0.5000  0.5000  0.5000
Ag  0.0000  0.0000  0.2208
Ag  0.0000  0.0000  0.7792
Pt  0.5000  0.5000  0.0000

So which one wins? Going from most stable to least: model A, model B.

Model A:
VASP calculation (SCAN) on a PBEsol-optimized structure of TaAgPt.

Values from the calculation:
Density of states at the Fermi level: 0.682 states/eV per atom
Crystal system: tetragonal
Space group: I4mm, No. 107

a = 2.8324 Å, b = 2.8324 Å, c = 6.3759 Å
α = 102.83°, β = 102.83°, γ = 90.00°
Fractional coordinates of all 3 atoms:
Ta  0.6730  0.6730  0.3460
Ag  0.9992  0.9992  0.9985
Pt  0.3278  0.3278  0.6555

Model B:
VASP calculation (SCAN) on a PBEsol-optimized structure of TaAgPt.

Values from the calculation:
Density of states at the Fermi level: 0.624 states/eV per atom
Crystal system: trigonal
Space group: P3m1, No. 156

a = 2.8405 Å, b = 2.8405 Å, c = 7.0248 Å
α = 90.00°, β = 90.00°, γ = 120.00°
Fractional coordinates of all 3 atoms:
Ta  0.6667  0.3333  0.3455
Ag  0.0000  0.0000  0.9973
Pt  0.3333  0.6667  0.6572

So which one wins? Going from most stable to least: model A, model B.